Version a
Computed, not measured: crystalline Bi2PbSe at its relaxed geometry at the GGA-PBEsol level of DFT.

Calculated values
SG: Fm-3m, No. 225

a = 5.3461 Å, b = 5.3461 Å, c = 5.3461 Å
α = 60.00°, β = 60.00°, γ = 60.00°
Element x y z (fractional)
Bi 0.2500 0.2500 0.2500
Bi 0.7500 0.7500 0.7500
Pb 0.0000 0.0000 0.0000
Se 0.5000 0.5000 0.5000

Version b
Computed, not measured: crystalline Bi2PbSe at its relaxed geometry at the GGA-PBEsol level of DFT.

Calculated values
SG: I-42d, No. 122

a = 9.1278 Å, b = 9.1278 Å, c = 9.1278 Å
α = 140.21°, β = 140.21°, γ = 57.53°
Element x y z (fractional)
Bi 0.0832 0.6250 0.9582
Bi 0.3750 0.3332 0.4582
Bi 0.6668 0.1250 0.0418
Bi 0.8750 0.9168 0.5418
Pb 0.2500 0.7500 0.5000
Pb 0.5000 0.5000 0.0000
Se 0.0000 0.0000 0.0000
Se 0.7500 0.2500 0.5000

Relative stability in eV/atom, measured from the most stable structure: version a 0.000; version b 0.132

Version a
Computed, not measured: crystalline NiMo2Rh at its relaxed geometry at the GGA-PBEsol level of DFT.

Calculated values
SG: P1, No. 1

a = 2.6644 Å, b = 4.5619 Å, c = 4.7530 Å
α = 98.24°, β = 90.06°, γ = 106.80°
Element x y z (fractional)
Ni 0.0000 0.0000 0.0000
Mo 0.2580 0.5131 0.7962
Mo 0.4963 0.9929 0.4944
Rh 0.7483 0.4932 0.2687

Version b
Computed, not measured: crystalline NiMo2Rh at its relaxed geometry at the GGA-PBEsol level of DFT.

Calculated values
SG: P4mm, No. 99

a = 3.1447 Å, b = 3.1447 Å, c = 5.5544 Å
α = 90.00°, β = 90.00°, γ = 90.00°
Element x y z (fractional)
Ni 0.0000 0.0000 0.0000
Mo 0.0000 0.0000 0.5044
Mo 0.5000 0.5000 0.7818
Rh 0.5000 0.5000 0.2473

Relative stability in eV/atom, measured from the most stable structure: version a 0.000; version b 0.052

Version a
Computed, not measured: crystalline LaYZn at its relaxed geometry at the GGA-PBEsol level of DFT.

Calculated values
SG: I4mm, No. 107

a = 6.6429 Å, b = 6.6429 Å, c = 6.6429 Å
α = 148.37°, β = 148.37°, γ = 45.33°
Element x y z (fractional)
La 0.0000 0.0000 0.0000
Y 0.7139 0.7139 0.0000
Zn 0.3417 0.3417 0.0000

Version b
Computed, not measured: crystalline LaYZn at its relaxed geometry at the GGA-PBEsol level of DFT.

Calculated values
SG: F-43m, No. 216

a = 4.8986 Å, b = 4.8986 Å, c = 4.8986 Å
α = 60.00°, β = 60.00°, γ = 60.00°
Element x y z (fractional)
La 0.0000 0.0000 0.0000
Y 0.2500 0.2500 0.2500
Zn 0.5000 0.5000 0.5000

Relative stability in eV/atom, measured from the most stable structure: version a 0.000; version b 0.598

Version a
Computed, not measured: crystalline Mg3Mo at its relaxed geometry at the GGA-PBEsol level of DFT.

Calculated values
SG: Pmmn, No. 59

a = 4.7889 Å, b = 5.8657 Å, c = 5.3322 Å
α = 90.00°, β = 90.00°, γ = 90.00°
Element x y z (fractional)
Mg 0.2500 0.0013 0.1623
Mg 0.2500 0.4987 0.1623
Mg 0.2500 0.7500 0.6472
Mg 0.7500 0.2500 0.3528
Mg 0.7500 0.5013 0.8377
Mg 0.7500 0.9987 0.8377
Mo 0.2500 0.2500 0.6462
Mo 0.7500 0.7500 0.3538

Version b
Computed, not measured: crystalline Mg3Mo at its relaxed geometry at the GGA-PBEsol level of DFT.

Calculated values
SG: Pm-3m, No. 221

a = 4.1653 Å, b = 4.1653 Å, c = 4.1653 Å
α = 90.00°, β = 90.00°, γ = 90.00°
Element x y z (fractional)
Mg 0.0000 0.0000 0.5000
Mg 0.0000 0.5000 0.0000
Mg 0.5000 0.0000 0.0000
Mo 0.5000 0.5000 0.5000

Relative stability in eV/atom, measured from the most stable structure: version a 0.120; version b 0.000

Version a
Computed, not measured: crystalline MgIn2P at its relaxed geometry at the GGA-PBEsol level of DFT.

Calculated values
SG: R3m, No. 160

a = 7.6826 Å, b = 7.6826 Å, c = 7.6826 Å
α = 28.76°, β = 28.76°, γ = 28.76°
Element x y z (fractional)
Mg 0.0000 0.0000 0.0000
In 0.5384 0.5384 0.5384
In 0.7694 0.7694 0.7694
P 0.2719 0.2719 0.2719

Version b
Computed, not measured: crystalline MgIn2P at its relaxed geometry at the GGA-PBEsol level of DFT.

Calculated values
SG: P4/mmm, No. 123

a = 3.4582 Å, b = 3.4582 Å, c = 7.2183 Å
α = 90.00°, β = 90.00°, γ = 90.00°
Element x y z (fractional)
Mg 0.0000 0.0000 0.0000
In 0.5000 0.5000 0.2847
In 0.5000 0.5000 0.7153
P 0.0000 0.0000 0.5000

Relative stability in eV/atom, measured from the most stable structure: version a 0.000; version b 0.194

Version a
Computed, not measured: crystalline TlAsPb2 at its relaxed geometry at the GGA-PBEsol level of DFT.

Calculated values
SG: P4/mmm, No. 123

a = 3.7962 Å, b = 3.7962 Å, c = 7.4481 Å
α = 90.00°, β = 90.00°, γ = 90.00°
Element x y z (fractional)
Tl 0.0000 0.0000 0.0000
As 0.0000 0.0000 0.5000
Pb 0.5000 0.5000 0.2873
Pb 0.5000 0.5000 0.7127

Version b
Computed, not measured: crystalline TlAsPb2 at its relaxed geometry at the GGA-PBEsol level of DFT.

Calculated values
SG: C2/m, No. 12

a = 6.2294 Å, b = 6.2294 Å, c = 5.2626 Å
α = 114.82°, β = 114.82°, γ = 36.39°
Element x y z (fractional)
Tl 0.0000 0.0000 0.0000
As 0.5000 0.5000 0.5000
Pb 0.2108 0.2108 0.7108
Pb 0.7892 0.7892 0.2892

Relative stability in eV/atom, measured from the most stable structure: version a 0.000; version b 0.022